The following is a DFT calculation (PBE with a Hubbard U) of crystalline PmMn2PO8 at its relaxed geometry.

Geometry as CIF:
```
data_PmMn2PO8
_cell_length_a 4.8772
_cell_length_b 4.8772
_cell_length_c 6.2985
_cell_angle_alpha 90.00
_cell_angle_beta 90.00
_cell_angle_gamma 120.00
_space_group_name_H-M_alt 'P -3 m 1'
_space_group_IT_number 164
_space_group_name_Hall '-P 3 2"'
loop_
_atom_site_label
_atom_site_fract_x
_atom_site_fract_y
_atom_site_fract_z
Pm1 0.0000 0.0000 0.0000
Mn1 0.3333 0.6667 0.3655
P1 0.0000 0.0000 0.5000
O1 0.1604 0.3209 0.6570
O2 0.3333 0.6667 0.0793
```

Results
uncorrected energy = -0.5090 Ry per atom
magnetic moment = 5.99 μB per cell